The following is a DFT calculation (PBE-GGA) of a geometry-optimized Li2CoPb structure.

Symmetry: Pmmm, No. 47
Spin magnetization in μB per atom: 0.338
N(E_F) in states/eV/f.u.: 3.8
DFT formation energy in meV/atom: 178

Geometry as CIF:
```
data_Li2CoPb
_symmetry_space_group_name_H-M 'P 1'
_symmetry_Int_Tables_number 1
_cell_length_a 3.0523
_cell_length_b 4.1092
_cell_length_c 5.4068
_cell_angle_alpha 90.00
_cell_angle_beta 90.00
_cell_angle_gamma 90.00
loop_
_symmetry_equiv_pos_as_xyz
'x,y,z'
loop_
_atom_site_label
_atom_site_fract_x
_atom_site_fract_y
_atom_site_fract_z
Pb1 0.5000 0.5000 0.2500
Co1 0.5000 0.5000 0.7500
Li1 0.0000 0.0000 0.5254
Li2 0.0000 0.0000 0.9746
```

---

The following is a DFT calculation (PBE-GGA) of a geometry-optimized Mn2HgW structure.

Symmetry: Cmmm, No. 65
Spin magnetization in μB per atom: 1.063
N(E_F) in states/eV/f.u.: 3.3
DFT formation energy in meV/atom: 492

Geometry as CIF:
```
data_Mn2HgW
_symmetry_space_group_name_H-M 'P 1'
_symmetry_Int_Tables_number 1
_cell_length_a 6.5653
_cell_length_b 4.5781
_cell_length_c 2.9665
_cell_angle_alpha 89.98
_cell_angle_beta 63.17
_cell_angle_gamma 124.81
loop_
_symmetry_equiv_pos_as_xyz
'x,y,z'
loop_
_atom_site_label
_atom_site_fract_x
_atom_site_fract_y
_atom_site_fract_z
Hg1 0.5000 0.5000 0.0000
W1 0.0000 0.5000 0.5000
Mn1 0.0000 0.0000 0.0000
Mn2 0.5000 0.0000 0.5000
```

---

The following is a DFT calculation (PBE-GGA) of a geometry-optimized PrSmCoCu structure.

Symmetry: Amm2, No. 38
Spin magnetization in μB per atom: 0.000
N(E_F) in states/eV/f.u.: 3.7
DFT formation energy in meV/atom: -106
Energy relative to the lowest polymorph listed for this composition in meV/atom: 0

Geometry as CIF:
```
data_PrSmCoCu
_symmetry_space_group_name_H-M 'P 1'
_symmetry_Int_Tables_number 1
_cell_length_a 3.9151
_cell_length_b 4.3547
_cell_length_c 5.6064
_cell_angle_alpha 90.00
_cell_angle_beta 110.44
_cell_angle_gamma 90.00
loop_
_symmetry_equiv_pos_as_xyz
'x,y,z'
loop_
_atom_site_label
_atom_site_fract_x
_atom_site_fract_y
_atom_site_fract_z
Cu1 0.5656 0.5000 0.1311
Pr1 0.1421 0.0000 0.2842
Co1 0.4296 0.0000 0.8591
Sm1 0.8628 0.5000 0.7256
```

---

The following is a DFT calculation (PBE-GGA) of a geometry-optimized CrPbC3 structure.

Symmetry: Pm-3m, No. 221
Spin magnetization in μB per atom: 0.000
N(E_F) in states/eV/f.u.: 2.7
DFT formation energy in meV/atom: 1677
Energy relative to the lowest polymorph listed for this composition in meV/atom: 0

Geometry as CIF:
```
data_CrPbC3
_symmetry_space_group_name_H-M 'P 1'
_symmetry_Int_Tables_number 1
_cell_length_a 3.9639
_cell_length_b 3.9639
_cell_length_c 3.9639
_cell_angle_alpha 90.00
_cell_angle_beta 90.00
_cell_angle_gamma 90.00
loop_
_symmetry_equiv_pos_as_xyz
'x,y,z'
loop_
_atom_site_label
_atom_site_fract_x
_atom_site_fract_y
_atom_site_fract_z
C1 0.0000 0.0000 0.5000
C2 0.5000 0.0000 0.0000
C3 0.0000 0.5000 0.0000
Pb1 0.5000 0.5000 0.5000
Cr1 0.0000 0.0000 0.0000
```

---

The following is a DFT calculation (PBE-GGA) of a geometry-optimized ReSi2W structure.

Symmetry: Cmm2, No. 35
Spin magnetization in μB per atom: 0.000
N(E_F) in states/eV/f.u.: 3.1
Energy relative to the lowest polymorph listed for this composition in meV/atom: 579

Geometry as CIF:
```
data_ReSi2W
_symmetry_space_group_name_H-M 'P 1'
_symmetry_Int_Tables_number 1
_cell_length_a 2.7365
_cell_length_b 2.7365
_cell_length_c 8.3395
_cell_angle_alpha 90.00
_cell_angle_beta 90.00
_cell_angle_gamma 109.42
loop_
_symmetry_equiv_pos_as_xyz
'x,y,z'
loop_
_atom_site_label
_atom_site_fract_x
_atom_site_fract_y
_atom_site_fract_z
W1 0.0000 0.0000 0.4935
Si1 0.5000 0.5000 0.2491
Si2 0.0000 0.0000 0.9991
Re1 0.5000 0.5000 0.7584
```

---

The following is a DFT calculation (PBE-GGA) of a geometry-optimized TbPaAu2 structure.

Symmetry: Fm-3m, No. 225
Spin magnetization in μB per atom: 0.162
N(E_F) in states/eV/f.u.: 5.8
DFT formation energy in meV/atom: -447
Energy relative to the lowest polymorph listed for this composition in meV/atom: 52

Geometry as CIF:
```
data_TbPaAu2
_symmetry_space_group_name_H-M 'P 1'
_symmetry_Int_Tables_number 1
_cell_length_a 5.1095
_cell_length_b 5.1095
_cell_length_c 5.1095
_cell_angle_alpha 60.00
_cell_angle_beta 60.00
_cell_angle_gamma 60.00
loop_
_symmetry_equiv_pos_as_xyz
'x,y,z'
loop_
_atom_site_label
_atom_site_fract_x
_atom_site_fract_y
_atom_site_fract_z
Tb1 0.0000 0.0000 0.0000
Au1 0.2500 0.2500 0.2500
Au2 0.7500 0.7500 0.7500
Pa1 0.5000 0.5000 0.5000
```

---

The following is a DFT calculation (PBE-GGA) of a geometry-optimized BeCrAs structure.

Symmetry: F-43m, No. 216
Spin magnetization in μB per atom: 1.072
N(E_F) in states/eV/f.u.: 1.8
DFT formation energy in meV/atom: 310
Energy relative to the lowest polymorph listed for this composition in meV/atom: 304

Geometry as CIF:
```
data_BeCrAs
_symmetry_space_group_name_H-M 'P 1'
_symmetry_Int_Tables_number 1
_cell_length_a 4.0099
_cell_length_b 4.0099
_cell_length_c 4.0099
_cell_angle_alpha 60.00
_cell_angle_beta 60.00
_cell_angle_gamma 60.00
loop_
_symmetry_equiv_pos_as_xyz
'x,y,z'
loop_
_atom_site_label
_atom_site_fract_x
_atom_site_fract_y
_atom_site_fract_z
As1 0.0000 0.0000 0.0000
Be1 0.5000 0.5000 0.5000
Cr1 0.7500 0.7500 0.7500
```

---

The following is a DFT calculation (PBE-GGA) of a geometry-optimized ScSiMo structure.

Symmetry: P4_2/m, No. 84
Spin magnetization in μB per atom: 0.000
N(E_F) in states/eV/f.u.: 3.2
E_tot in eV per cell: -95.19

Geometry as CIF:
```
data_ScSiMo
_symmetry_space_group_name_H-M 'P 1'
_symmetry_Int_Tables_number 1
_cell_length_a 3.4921
_cell_length_b 7.9311
_cell_length_c 7.9311
_cell_angle_alpha 90.00
_cell_angle_beta 90.00
_cell_angle_gamma 90.00
loop_
_symmetry_equiv_pos_as_xyz
'x,y,z'
loop_
_atom_site_label
_atom_site_fract_x
_atom_site_fract_y
_atom_site_fract_z
Mo1 0.5000 0.8814 0.1528
Mo2 0.0000 0.8472 0.8814
Mo3 0.5000 0.1186 0.8472
Mo4 0.0000 0.1528 0.1186
Sc1 0.0000 0.4084 0.7748
Sc2 0.0000 0.5916 0.2252
Sc3 0.5000 0.7748 0.5916
Sc4 0.5000 0.2252 0.4084
Si1 0.0000 0.0622 0.6335
Si2 0.5000 0.6335 0.9378
Si3 0.0000 0.9378 0.3665
Si4 0.5000 0.3665 0.0622
```